A plane-wave DFT calculation with PBE-GGA was carried out for a relaxed Rb2ThMgTe4 crystal.

Unit cell a=7.823 b=4.578 c=8.977 alpha=90.00 beta=107.69 gamma=90.00
Space group P2/m (No. 10)
Symmetry-distinct sites (fractional):
1 Rb 0.000 0.000 0.000 [1 per cell]
2 Rb 0.500 0.500 0.000 [1 per cell]
3 Th 0.000 0.500 0.500 [1 per cell]
4 Mg 0.500 0.000 0.500 [1 per cell]
5 Te 0.236 0.000 0.704 [2 per cell]
6 Te 0.277 0.500 0.310 [2 per cell]

Results
The calculation puts the formation energy without anion corrections at -1.108 eV/atom. For the theoretical density, the calculation gives 5.1 g/cm3. The value obtained for the calculated total energy is -4.047 eV/atom.

***

A plane-wave DFT calculation with PBE-GGA was carried out for a relaxed RbMg2TlTe crystal.

Unit cell a=5.692 b=5.692 c=6.791 alpha=90.00 beta=90.00 gamma=90.00
Space group P4/mmm (No. 123)
Symmetry-distinct sites (fractional):
1 Rb 0.000 0.000 0.000 [1 per cell]
2 Mg 0.000 0.500 0.500 [2 per cell]
3 Tl 0.500 0.500 0.000 [1 per cell]
4 Te 0.500 0.500 0.500 [1 per cell]

Results
The calculation puts the formation energy without anion corrections at 0.094 eV/atom. For the theoretical density, the calculation gives 3.5 g/cm3. The value obtained for the calculated total energy is -1.838 eV/atom.

***

A plane-wave DFT calculation with PBE-GGA was carried out for a relaxed Rb3Tm3MgTe8 crystal.

Unit cell a=14.948 b=8.671 c=10.191 alpha=90.00 beta=119.15 gamma=90.00
Space group C2/m (No. 12)
Symmetry-distinct sites (fractional):
1 Rb 0.000 0.000 0.000 [2 per cell]
2 Rb 0.250 0.250 0.000 [4 per cell]
3 Tm 0.000 0.500 0.500 [2 per cell]
4 Tm 0.250 0.250 0.500 [4 per cell]
5 Mg 0.000 0.000 0.500 [2 per cell]
6 Te 0.018 0.252 0.304 [8 per cell]
7 Te 0.233 0.000 0.695 [4 per cell]
8 Te 0.233 0.500 0.699 [4 per cell]

Results
The calculation puts the formation energy without anion corrections at -1.106 eV/atom. For the theoretical density, the calculation gives 5.2 g/cm3. The value obtained for the calculated total energy is -3.976 eV/atom.

***

A plane-wave DFT calculation with PBE-GGA was carried out for a relaxed Rb3MgU2Te6 crystal.

Unit cell a=7.827 b=13.559 c=8.935 alpha=90.00 beta=106.99 gamma=90.00
Space group C2/m (No. 12)
Symmetry-distinct sites (fractional):
1 Rb 0.000 0.000 0.000 [2 per cell]
2 Rb 0.000 0.333 0.000 [4 per cell]
3 Mg 0.000 0.500 0.500 [2 per cell]
4 U 0.000 0.167 0.500 [4 per cell]
5 Te 0.230 0.336 0.697 [8 per cell]
6 Te 0.237 0.000 0.697 [4 per cell]

Results
The calculation puts the formation energy without anion corrections at -0.877 eV/atom. For the theoretical density, the calculation gives 5.6 g/cm3. The value obtained for the calculated total energy is -4.704 eV/atom.